DFT (PBE-GGA) results for an optimized crystal structure of TiSe2BrO.

The structure in POSCAR format:
```
TiSe2BrO
1.0
4.907 0.000 0.000
0.000 4.907 0.000
0.000 0.000 5.121
Ti Se Br O
1 2 1 1
direct
0.000 0.000 0.000 Ti
0.000 0.500 0.000 Se
0.500 0.000 0.000 Se
0.000 0.000 0.500 Br
0.500 0.500 0.500 O
```

Space-group type: P4/mmm
M_tot in μB per cell: 2.33
ΔE_f (raw) in meV/atom: 95
Energy above the most stable polymorph in this dataset in meV/atom: 0
E_tot in eV/atom: -4.20